{
  "formula": "GeN2OF",
  "functional": "PBEsol",
  "state": "relaxed",
  "lattice": [[3.4148, 0.0000, 0.0000], [0.0000, 3.4148, 0.0000], [0.0000, 0.0000, 4.8829]],
  "species": ["Ge", "N", "N", "O", "F"],
  "fractional_positions": [[0.5000, 0.5000, 0.5000], [0.0000, 0.5000, 0.0000], [0.5000, 0.0000, 0.0000], [0.0000, 0.0000, 0.5000], [0.0000, 0.0000, 0.0000]],
  "n_ef_per_ev_cell": 3.14,
  "raw_formation_energy_ev_per_atom": 1.930
}